Record 1
# K2AlAs2

An optimized crystal structure of K2AlAs2 (GGA-PBE, the Alexandria database).

Cell lengths 6.3071, 8.3799, 8.3799 Å; angles 51.70, 67.89, 67.89 degrees
Site moments in Bohr magnetons follow the coordinates.
Positions (direct):
K 0.8521 0.9832 0.3126  0.00
K 0.1479 0.0168 0.6874  0.00
K 0.6479 0.6874 0.0168  0.00
K 0.3521 0.3126 0.9832  0.00
Al 0.2500 0.5000 0.5000  -0.01
Al 0.7500 0.5000 0.5000  -0.01
As 0.1008 0.5856 0.2129  0.12
As 0.3992 0.7871 0.4144  0.12
As 0.8992 0.4144 0.7871  0.12
As 0.6008 0.2129 0.5856  0.12

For the total magnetization, the calculation gives 0.5 μB per formula unit. The value obtained for the energy above the most stable polymorph in this dataset is 0 meV/atom. The space-group type is Ibam, No. 72.


Record 2
# K3Al2As3

An optimized crystal structure of K3Al2As3 (GGA-PBE, the Alexandria database).

Cell lengths 4.2711, 7.5136, 14.5932 Å; angles 90.00, 90.00, 106.51 degrees
Positions (direct):
As 0.3521 0.7043 0.9567
As 0.6479 0.2957 0.0433
As 0.3159 0.6318 0.2500
As 0.3521 0.7043 0.5433
As 0.6479 0.2957 0.4567
As 0.6841 0.3682 0.7500
Al 0.7592 0.5184 0.5907
Al 0.2408 0.4816 0.0907
Al 0.7592 0.5184 0.9093
Al 0.2408 0.4816 0.4093
K 0.0628 0.1256 0.8873
K 0.9372 0.8744 0.1127
K 0.0628 0.1256 0.6127
K 0.6445 0.2890 0.2500
K 0.9372 0.8744 0.3873
K 0.3555 0.7110 0.7500

For the total magnetization, the calculation gives 0.0 μB per formula unit. The value obtained for the energy above the most stable polymorph in this dataset is 93 meV/atom. The space-group type is Cmcm, No. 63.


Record 3
# KAlAs2

An optimized crystal structure of KAlAs2 (GGA-PBE, the Alexandria database).

Cell lengths 5.3871, 5.3871, 5.3871 Å; angles 129.96, 129.96, 73.47 degrees
Positions (direct):
As 0.5000 0.5000 0.0000
As 0.0000 0.0000 0.0000
Al 0.7500 0.2500 0.5000
K 0.2500 0.7500 0.5000

For the total magnetization, the calculation gives 0.0 μB per formula unit. For the energy, the calculation gives -13.337 eV/f.u. The space-group type is I4/mmm, No. 139.


Record 4
# KAlAs3

An optimized crystal structure of KAlAs3 (GGA-PBE, the Alexandria database).

Cell lengths 5.4545, 5.4545, 5.4545 Å; angles 90.00, 90.00, 90.00 degrees
Positions (direct):
As 0.0000 0.5000 0.0000
As 0.5000 0.0000 0.0000
As 0.0000 0.0000 0.5000
Al 0.5000 0.5000 0.5000
K 0.0000 0.0000 0.0000

For the total magnetization, the calculation gives 0.0 μB per formula unit. The value obtained for the energy above the most stable polymorph in this dataset is 1417 meV/atom. The space-group type is Pm-3m, No. 221.


Record 5
# KAl2As

An optimized crystal structure of KAl2As (GGA-PBE, the Alexandria database).

Cell lengths 5.0715, 5.0715, 5.0715 Å; angles 60.00, 60.00, 60.00 degrees
Positions (direct):
As 0.5000 0.5000 0.5000
Al 0.0000 0.0000 0.0000
Al 0.2500 0.2500 0.2500
K 0.7500 0.7500 0.7500

For the total magnetization, the calculation gives 0.0 μB per formula unit. For the energy, the calculation gives -11.958 eV/f.u. The space-group type is F-43m, No. 216.


Record 6
# KAlAs2

An optimized crystal structure of KAlAs2 (GGA-PBE, the Alexandria database).

Cell lengths 4.4001, 4.4001, 7.1281 Å; angles 77.36, 77.36, 49.73 degrees
Positions (direct):
Al 0.2500 0.2500 0.2500
As 0.9711 0.9711 0.0975
As 0.5289 0.5289 0.4025
K 0.7500 0.7500 0.7500

For the total magnetization, the calculation gives 0.0 μB per formula unit. For the energy, the calculation gives -14.921 eV/f.u. The space-group type is C2/m, No. 12.


Record 7
# K4AlAs

An optimized crystal structure of K4AlAs (GGA-PBE, the Alexandria database).

Cell lengths 6.9084, 6.9084, 6.9084 Å; angles 60.00, 60.00, 60.00 degrees
Positions (direct):
K 0.3737 0.3737 0.3737
K 0.8790 0.3737 0.3737
K 0.3737 0.8790 0.3737
K 0.3737 0.3737 0.8790
Al 0.7500 0.7500 0.7500
As 0.0000 0.0000 0.0000

For the total magnetization, the calculation gives 0.0 μB per formula unit. For the energy, the calculation gives -9.938 eV/f.u. The space-group type is F-43m, No. 216.


Record 8
# KAlAs3

An optimized crystal structure of KAlAs3 (GGA-PBE, the Alexandria database).

Cell lengths 5.0231, 5.0231, 5.0231 Å; angles 90.00, 90.00, 90.00 degrees
Positions (direct):
As 0.5000 0.0000 0.0000
As 0.0000 0.0000 0.5000
As 0.0000 0.5000 0.0000
Al 0.0000 0.0000 0.0000
K 0.5000 0.5000 0.5000

For the total magnetization, the calculation gives 0.0 μB per formula unit. The value obtained for the energy above the most stable polymorph in this dataset is 0 meV/atom. The space-group type is Pm-3m, No. 221.